Record 1
First-principles (PBE-GGA) data for crystalline K2ZrIr at its relaxed geometry, as listed in Alexandria.

Properties
Spin magnetization   0.2 μB per formula unit
Formation energy   0.9002 eV/atom
Crystal system   trigonal
V   296.1 Å³ per cell
Polymorph energy (0 for the lowest one)   0.7971 eV per atom

Geometry as CIF:
```
data_K2ZrIr
_chemical_formula_sum 'K6 Zr3 Ir3'
_cell_length_a 3.0217
_cell_length_b 3.0217
_cell_length_c 37.4506
_cell_angle_alpha 90.00
_cell_angle_beta 90.00
_cell_angle_gamma 120.00
_symmetry_space_group_name_H-M 'R -3 m'
_symmetry_Int_Tables_number 166
_symmetry_space_group_name_Hall '-R 3 2"'
loop_
_atom_site_label
_atom_site_type_symbol
_atom_site_fract_x
_atom_site_fract_y
_atom_site_fract_z
K1 K 0.0000 0.0000 0.2375
Zr1 Zr 0.0000 0.0000 0.0000
Ir1 Ir 0.0000 0.0000 0.5000
```

***

Record 2
First-principles (PBE-GGA) data for crystalline PrYAlTl at its relaxed geometry, as listed in Alexandria.

Properties
Spin magnetization   0.0 μB per formula unit
Formation energy   -0.3514 eV/atom
Crystal system   cubic
V   434.3 Å³ per cell
Polymorph energy (0 for the lowest one)   0.0281 eV per atom

Geometry as CIF:
```
data_PrYAlTl
_chemical_formula_sum 'Pr4 Y4 Al4 Tl4'
_cell_length_a 7.573
_cell_length_b 7.573
_cell_length_c 7.573
_cell_angle_alpha 90.00
_cell_angle_beta 90.00
_cell_angle_gamma 90.00
_symmetry_space_group_name_H-M 'F -4 3 m'
_symmetry_Int_Tables_number 216
_symmetry_space_group_name_Hall 'F -4 2 3'
loop_
_atom_site_label
_atom_site_type_symbol
_atom_site_fract_x
_atom_site_fract_y
_atom_site_fract_z
Pr1 Pr 0.000 0.000 0.000
Y1 Y 0.000 0.000 0.500
Al1 Al 0.250 0.250 0.750
Tl1 Tl 0.250 0.250 0.250
```

***

Record 3
First-principles (PBE-GGA) data for crystalline LiBeCrB2 at its relaxed geometry, as listed in Alexandria.

Properties
Spin magnetization   0.0 μB per formula unit
Formation energy   1.5538 eV/atom
Crystal system   tetragonal
V   45.0 Å³ per cell

Geometry as CIF:
```
data_LiBeCrB2
_chemical_formula_sum 'Li1 Be1 Cr1 B2'
_cell_length_a 3.455
_cell_length_b 3.455
_cell_length_c 3.774
_cell_angle_alpha 90.00
_cell_angle_beta 90.00
_cell_angle_gamma 90.00
_symmetry_space_group_name_H-M 'P 4/m m m'
_symmetry_Int_Tables_number 123
_symmetry_space_group_name_Hall '-P 4 2'
loop_
_atom_site_label
_atom_site_type_symbol
_atom_site_fract_x
_atom_site_fract_y
_atom_site_fract_z
Li1 Li 0.000 0.000 0.000
Be1 Be 0.500 0.500 0.500
Cr1 Cr 0.000 0.000 0.500
B1 B 0.000 0.500 0.000
```

***

Record 4
First-principles (PBE-GGA) data for crystalline TbDy2Bi2 at its relaxed geometry, as listed in Alexandria.

Properties
Spin magnetization   0.0 μB per formula unit
Formation energy   -0.3932 eV/atom
Crystal system   monoclinic
V   324.3 Å³ per cell

Geometry as CIF:
```
data_TbDy2Bi2
_chemical_formula_sum 'Tb2 Dy4 Bi4'
_cell_length_a 7.518
_cell_length_b 6.114
_cell_length_c 7.301
_cell_angle_alpha 90.00
_cell_angle_beta 104.91
_cell_angle_gamma 90.00
_symmetry_space_group_name_H-M 'C 1 2/m 1'
_symmetry_Int_Tables_number 12
_symmetry_space_group_name_Hall '-C 2y'
loop_
_atom_site_label
_atom_site_type_symbol
_atom_site_fract_x
_atom_site_fract_y
_atom_site_fract_z
Tb1 Tb 0.000 0.000 0.000
Dy1 Dy 0.000 0.249 0.500
Bi1 Bi 0.174 0.500 0.206
```

***

Record 5
First-principles (PBE-GGA) data for crystalline CeNiP2Os at its relaxed geometry, as listed in Alexandria.

Properties
Spin magnetization   0.3 μB per formula unit
Formation energy   -0.8121 eV/atom
Crystal system   tetragonal
V   160.6 Å³ per cell

Geometry as CIF:
```
data_CeNiP2Os
_chemical_formula_sum 'Ce2 Ni2 P4 Os2'
_cell_length_a 3.823
_cell_length_b 3.823
_cell_length_c 10.992
_cell_angle_alpha 90.00
_cell_angle_beta 90.00
_cell_angle_gamma 90.00
_symmetry_space_group_name_H-M 'I -4 m 2'
_symmetry_Int_Tables_number 119
_symmetry_space_group_name_Hall 'I -4 -2'
loop_
_atom_site_label
_atom_site_type_symbol
_atom_site_fract_x
_atom_site_fract_y
_atom_site_fract_z
Ce1 Ce 0.000 0.000 0.000
Ni1 Ni 0.000 0.500 0.750
P1 P 0.000 0.000 0.372
Os1 Os 0.000 0.500 0.250
```

***

Record 6
First-principles (PBE-GGA) data for crystalline Tm8Te4As3Pt at its relaxed geometry, as listed in Alexandria.

Properties
Spin magnetization   0.0 μB per formula unit
E_form (uncorrected)   -2105 kJ/mol of formula units
Crystal system   trigonal
V   1258.6 Å³ per cell

Geometry as CIF:
```
data_Tm8Te4As3Pt
_chemical_formula_sum 'Tm24 Te12 As9 Pt3'
_cell_length_a 8.3401
_cell_length_b 8.3401
_cell_length_c 20.8930
_cell_angle_alpha 90.00
_cell_angle_beta 90.00
_cell_angle_gamma 120.00
_symmetry_space_group_name_H-M 'R -3 m'
_symmetry_Int_Tables_number 166
_symmetry_space_group_name_Hall '-R 3 2"'
loop_
_atom_site_label
_atom_site_type_symbol
_atom_site_fract_x
_atom_site_fract_y
_atom_site_fract_z
Tm1 Tm 0.0000 0.0000 0.2391
Tm2 Tm 0.0082 0.5041 0.2383
Te1 Te 0.0000 0.0000 0.0000
Te2 Te 0.0000 0.5000 0.0000
As1 As 0.0000 0.5000 0.5000
Pt1 Pt 0.0000 0.0000 0.5000
```